# PaNi4Ge, optimized geometry, DFT PBE
# ΔH_f (0 K) (eV/atom): -0.3886
# Excess energy over the best structure of this formula in the dataset (eV/f.u.): 0.03
data_PaNi4Ge
_chemical_formula_sum 'Pa4 Ni16 Ge4'
_space_group_name_H-M_alt 'F -4 3 m'
_space_group_IT_number 216
_space_group_name_Hall 'F -4 2 3'
_cell_length_a 6.953
_cell_length_b 6.953
_cell_length_c 6.953
_cell_angle_alpha 90.00
_cell_angle_beta 90.00
_cell_angle_gamma 90.00
loop_
_atom_site_label
_atom_site_type_symbol
_atom_site_fract_x
_atom_site_fract_y
_atom_site_fract_z
Pa1 Pa 0.000 0.000 0.000
Ni1 Ni 0.124 0.124 0.376
Ge1 Ge 0.250 0.250 0.750

# RbPtF, optimized geometry, DFT PBE
# Raw formation energy (meV/atom): -914
# Excess energy over the best structure of this formula in the dataset (eV/f.u.): 1.30
data_RbPtF
_chemical_formula_sum 'Rb4 Pt4 F4'
_space_group_name_H-M_alt 'A m m 2'
_space_group_IT_number 38
_cell_length_a 4.261
_cell_length_b 9.097
_cell_length_c 7.447
_cell_angle_alpha 90.00
_cell_angle_beta 90.00
_cell_angle_gamma 90.00
loop_
_space_group_symop_operation_xyz
'x,y,z'
'-x,-y,z'
'-x,y,z'
'x,-y,z'
'x,y+1/2,z+1/2'
'-x,-y+1/2,z+1/2'
'-x,y+1/2,z+1/2'
'x,-y+1/2,z+1/2'
loop_
_atom_site_label
_atom_site_type_symbol
_atom_site_fract_x
_atom_site_fract_y
_atom_site_fract_z
Rb1 Rb 0.000 0.213 0.000
Pt1 Pt 0.500 0.000 0.346
Pt2 Pt 0.500 0.000 0.680
F1 F 0.000 0.000 0.300
F2 F 0.500 0.000 0.966

# BaY2Sc, optimized geometry, DFT PBE
# ΔH_f (0 K) (eV/atom): 0.2607
# Excess energy over the best structure of this formula in the dataset (eV/f.u.): 0.43
data_BaY2Sc
_chemical_formula_sum 'Ba2 Y4 Sc2'
_space_group_name_H-M_alt 'C 1 m 1'
_space_group_IT_number 8
_cell_length_a 11.996
_cell_length_b 3.630
_cell_length_c 6.402
_cell_angle_alpha 90.00
_cell_angle_beta 100.17
_cell_angle_gamma 90.00
loop_
_space_group_symop_operation_xyz
'x,y,z'
'x,-y,z'
'x+1/2,y+1/2,z'
'x+1/2,-y+1/2,z'
loop_
_atom_site_label
_atom_site_type_symbol
_atom_site_fract_x
_atom_site_fract_y
_atom_site_fract_z
Ba1 Ba 0.000 0.000 0.000
Y1 Y 0.012 0.500 0.510
Y2 Y 0.262 0.500 0.287
Sc1 Sc 0.248 0.000 0.741

# Y2Ga2Sb, optimized geometry, DFT PBE
# Raw formation energy (meV/atom): -673
# Excess energy over the best structure of this formula in the dataset (eV/f.u.): 0.00
data_Y2Ga2Sb
_chemical_formula_sum 'Y4 Ga4 Sb2'
_space_group_name_H-M_alt 'P 4/m b m'
_space_group_IT_number 127
_space_group_name_Hall '-P 4 2ab'
_cell_length_a 7.420
_cell_length_b 7.420
_cell_length_c 4.295
_cell_angle_alpha 90.00
_cell_angle_beta 90.00
_cell_angle_gamma 90.00
loop_
_atom_site_label
_atom_site_type_symbol
_atom_site_fract_x
_atom_site_fract_y
_atom_site_fract_z
Y1 Y 0.175 0.325 0.000
Ga1 Ga 0.121 0.621 0.500
Sb1 Sb 0.000 0.000 0.500

# Li6HgPd5, optimized geometry, DFT PBE
# ΔH_f (0 K) (eV/atom): -0.4292
# Excess energy over the best structure of this formula in the dataset (eV/f.u.): 0.00
data_Li6HgPd5
_chemical_formula_sum 'Li12 Hg2 Pd10'
_space_group_name_H-M_alt 'C 1 2/m 1'
_space_group_IT_number 12
_cell_length_a 7.420
_cell_length_b 12.865
_cell_length_c 4.264
_cell_angle_alpha 90.00
_cell_angle_beta 124.82
_cell_angle_gamma 90.00
loop_
_space_group_symop_operation_xyz
'x,y,z'
'-x,-y,-z'
'-x,y,-z'
'x,-y,z'
'x+1/2,y+1/2,z'
'-x+1/2,-y+1/2,-z'
'-x+1/2,y+1/2,-z'
'x+1/2,-y+1/2,z'
loop_
_atom_site_label
_atom_site_type_symbol
_atom_site_fract_x
_atom_site_fract_y
_atom_site_fract_z
Li1 Li 0.232 0.000 0.232
Li2 Li 0.241 0.172 0.741
Hg1 Hg 0.000 0.500 0.000
Pd1 Pd 0.000 0.000 0.500
Pd2 Pd 0.000 0.168 0.000
Pd3 Pd 0.000 0.338 0.500

# Tb2Dy6Ho5, optimized geometry, DFT PBE
# ΔH_f (0 K) (eV/atom): 0.0982
data_Tb2Dy6Ho5
_chemical_formula_sum 'Tb4 Dy12 Ho10'
_space_group_name_H-M_alt 'P b a m'
_space_group_IT_number 55
_cell_length_a 11.564
_cell_length_b 20.069
_cell_length_c 3.557
_cell_angle_alpha 90.00
_cell_angle_beta 90.00
_cell_angle_gamma 90.00
loop_
_space_group_symop_operation_xyz
'x,y,z'
'-x,-y,-z'
'-x,-y,z'
'x,y,-z'
'x+1/2,-y+1/2,-z'
'-x+1/2,y+1/2,z'
'-x+1/2,y+1/2,-z'
'x+1/2,-y+1/2,z'
loop_
_atom_site_label
_atom_site_type_symbol
_atom_site_fract_x
_atom_site_fract_y
_atom_site_fract_z
Tb1 Tb 0.167 0.211 0.000
Dy1 Dy 0.059 0.920 0.000
Dy2 Dy 0.083 0.632 0.000
Dy3 Dy 0.173 0.366 0.500
Ho1 Ho 0.000 0.500 0.500
Ho2 Ho 0.091 0.774 0.500
Ho3 Ho 0.199 0.051 0.500

# TiTe3Se, optimized geometry, DFT PBE
# Raw formation energy (meV/atom): 723
# Excess energy over the best structure of this formula in the dataset (eV/f.u.): 2.96
data_TiTe3Se
_chemical_formula_sum 'Ti1 Te3 Se1'
_space_group_name_H-M_alt 'P m -3 m'
_space_group_IT_number 221
_space_group_name_Hall '-P 4 2 3'
_cell_length_a 5.378
_cell_length_b 5.378
_cell_length_c 5.378
_cell_angle_alpha 90.00
_cell_angle_beta 90.00
_cell_angle_gamma 90.00
loop_
_atom_site_label
_atom_site_type_symbol
_atom_site_fract_x
_atom_site_fract_y
_atom_site_fract_z
Ti1 Ti 0.000 0.000 0.000
Te1 Te 0.000 0.500 0.500
Se1 Se 0.500 0.500 0.500

# TcBrCl, optimized geometry, DFT PBE
# Raw formation energy (meV/atom): -63
# Excess energy over the best structure of this formula in the dataset (eV/f.u.): 0.00
data_TcBrCl
_chemical_formula_sum 'Tc12 Br12 Cl12'
_space_group_name_H-M_alt 'C 1 c 1'
_space_group_IT_number 9
_cell_length_a 19.418
_cell_length_b 6.097
_cell_length_c 12.483
_cell_angle_alpha 90.00
_cell_angle_beta 129.16
_cell_angle_gamma 90.00
loop_
_space_group_symop_operation_xyz
'x,y,z'
'x,-y,z+1/2'
'x+1/2,y+1/2,z'
'x+1/2,-y+1/2,z+1/2'
loop_
_atom_site_label
_atom_site_type_symbol
_atom_site_fract_x
_atom_site_fract_y
_atom_site_fract_z
Tc1 Tc 0.000 0.089 0.000
Tc2 Tc 0.001 0.208 0.408
Tc3 Tc 0.246 0.249 0.464
Br1 Br 0.153 0.046 0.241
Br2 Br 0.345 0.449 0.436
Br3 Br 0.349 0.152 0.714
Cl1 Cl 0.004 0.497 0.544
Cl2 Cl 0.146 0.331 0.504
Cl3 Cl 0.499 0.362 0.302

Which formula does entry 2 have? RbPtF